Density functional theory data (PBE) for ErCuNi2 after structural relaxation.

Structure (POSCAR):
```
ErCuNi2
1.0
5.083 0.000 0.000
0.000 4.670 0.000
0.000 0.000 11.362
Er Cu Ni
4 4 8
Direct
0.250 0.000 0.103
0.250 0.500 0.395
0.750 0.000 0.897
0.750 0.500 0.605
0.250 0.000 0.834
0.250 0.500 0.824
0.750 0.000 0.166
0.750 0.500 0.176
0.000 0.000 0.500
0.000 0.500 0.000
0.250 0.250 0.643
0.250 0.750 0.643
0.500 0.000 0.500
0.500 0.500 0.000
0.750 0.250 0.357
0.750 0.750 0.357
```

Computed properties:
As for the formation energy: -0.104 eV/atom. The calculation puts the density of states at the Fermi level at 3.66 states/eV/f.u. As for the total magnetic moment: 0.00 μB/atom.

***

Density functional theory data (PBE) for ErCu4Ni2 after structural relaxation.

Structure (POSCAR):
```
ErCu4Ni2
1.0
7.119 0.000 0.000
0.000 7.119 0.000
0.000 0.000 4.925
Er Cu Ni
2 8 4
Direct
0.000 0.000 0.000
0.500 0.500 0.500
0.000 0.228 0.500
0.000 0.772 0.500
0.228 0.000 0.500
0.272 0.500 0.000
0.500 0.272 0.000
0.500 0.728 0.000
0.728 0.500 0.000
0.772 0.000 0.500
0.000 0.500 0.250
0.000 0.500 0.750
0.500 0.000 0.250
0.500 0.000 0.750
```

Computed properties:
As for the formation energy: 0.421 eV/atom. The calculation puts the density of states at the Fermi level at 5.43 states/eV/f.u. As for the total magnetic moment: 0.00 μB/atom.